# 1
The following is a PBE calculation of NiH4Rh2 after structural relaxation, from Alexandria.

Computed properties:
Relative energy among the computed polymorphs ... 66.7 meV/atom
Magnetic moment ... 0.7 μB/f.u.
N(E_F) ... 3.97 states/eV/f.u.

a b c (Å): 2.8141 2.8141 23.8669
angles (deg): 90.00 90.00 120.00
Space group R-3m (No. 166, hexagonal axes)
Symmetry-distinct sites (fractional):
Ni 0.0000 0.0000 0.0000 (multiplicity 3)
H 0.0000 0.0000 0.1944 (multiplicity 6)
H 0.0000 0.0000 0.3936 (multiplicity 6)
Rh 0.0000 0.0000 0.1057 (multiplicity 6)

# 2
The following is a PBE calculation of NiH2Rh after structural relaxation, from Alexandria.

Computed properties:
VASP energy ... -59.46 eV/cell
Magnetic moment ... 0.0 μB/f.u.
N(E_F) ... 4.00 states/eV/f.u.

a b c (Å): 2.8012 2.8012 13.1730
angles (deg): 90.00 90.00 120.00
Space group R-3m (No. 166, hexagonal axes)
Symmetry-distinct sites (fractional):
Ni 0.0000 0.0000 0.0000 (multiplicity 3)
H 0.0000 0.0000 0.2554 (multiplicity 6)
Rh 0.0000 0.0000 0.5000 (multiplicity 3)

What is the N(E_F) in the first record?
3.97 states/eV/f.u.

Which of these has the lowest magnetic moment?
NiH2Rh

Number 2 is which compound?
NiH2Rh

Repeat the first record exactly.
The following is a PBE calculation of NiH4Rh2 after structural relaxation, from Alexandria.

Computed properties:
Relative energy among the computed polymorphs ... 66.7 meV/atom
Magnetic moment ... 0.7 μB/f.u.
N(E_F) ... 3.97 states/eV/f.u.

a b c (Å): 2.8141 2.8141 23.8669
angles (deg): 90.00 90.00 120.00
Space group R-3m (No. 166, hexagonal axes)
Symmetry-distinct sites (fractional):
Ni 0.0000 0.0000 0.0000 (multiplicity 3)
H 0.0000 0.0000 0.1944 (multiplicity 6)
H 0.0000 0.0000 0.3936 (multiplicity 6)
Rh 0.0000 0.0000 0.1057 (multiplicity 6)